[1]
First-principles (PBE-GGA) data for Hf2PH after structural relaxation, as listed in the Alexandria database.

Lattice parameters (Å, degrees): 3.4685 3.4685 18.9749 90.00 90.00 120.00
Closest atoms and distances in Å follow each position.
Element x y z (fractional)
Hf 0.0000 0.0000 0.0000  3 H 2.09
Hf 0.0000 0.0000 0.1677  3 P 2.53
Hf 0.3333 0.6667 0.6667  3 H 2.09
Hf 0.3333 0.6667 0.8344  3 P 2.53
Hf 0.6667 0.3333 0.3333  3 H 2.09
Hf 0.6667 0.3333 0.5011  3 P 2.53
P 0.0000 0.0000 0.5826  6 Hf 2.53-2.56
P 0.3333 0.6667 0.2493  6 Hf 2.53-2.56
P 0.6667 0.3333 0.9160  6 Hf 2.53-2.56
H 0.0000 0.0000 0.3649  3 Hf 2.09
H 0.3333 0.6667 0.0316  3 Hf 2.09
H 0.6667 0.3333 0.6982  3 Hf 2.09

Results
SG: R3m, No. 160
E above lowest polymorph: 28.22 kJ per mole of atoms
calculated total energy: -7.6189 eV per atom
crystal system: trigonal

***

[2]
First-principles (PBE-GGA) data for HfPH2 after structural relaxation, as listed in the Alexandria database.

Lattice parameters (Å, degrees): 3.7972 3.7972 13.1344 90.00 90.00 90.00
Closest atoms and distances in Å follow each position.
Element x y z (fractional)
Hf 0.0000 0.2500 0.3750  4 H 1.90
Hf 0.0000 0.7500 0.6250  4 H 1.90
Hf 0.5000 0.2500 0.1250  4 H 1.90
Hf 0.5000 0.7500 0.8750  4 H 1.90
P 0.0000 0.2500 0.8750  8 H 2.68, 4 Hf 2.69
P 0.0000 0.7500 0.1250  8 H 2.68, 4 Hf 2.69
P 0.5000 0.2500 0.6250  8 H 2.68, 4 Hf 2.69
P 0.5000 0.7500 0.3750  8 H 2.68, 4 Hf 2.69
H 0.0000 0.0000 0.5000  2 Hf 1.90, 2 H 1.90
H 0.0000 0.5000 0.5000  2 Hf 1.90, 2 H 1.90
H 0.2500 0.2500 0.2500  2 Hf 1.90, 2 H 1.90
H 0.2500 0.7500 0.7500  2 Hf 1.90, 2 H 1.90
H 0.5000 0.0000 0.0000  2 Hf 1.90, 2 H 1.90
H 0.5000 0.5000 0.0000  2 Hf 1.90, 2 H 1.90
H 0.7500 0.2500 0.2500  2 Hf 1.90, 2 H 1.90
H 0.7500 0.7500 0.7500  2 Hf 1.90, 2 H 1.90

Results
SG: I4_1/amd, No. 141
E above lowest polymorph: 0.00 kJ per mole of atoms
calculated total energy: -5.6535 eV per atom
crystal system: tetragonal

***

[3]
First-principles (PBE-GGA) data for HfP3H after structural relaxation, as listed in the Alexandria database.

Lattice parameters (Å, degrees): 4.9840 4.9840 4.9840 90.00 90.00 90.00
Closest atoms and distances in Å follow each position.
Element x y z (fractional)
Hf 0.0000 0.0000 0.0000  6 P 2.49
P 0.0000 0.0000 0.5000  2 Hf 2.49
P 0.0000 0.5000 0.0000  2 Hf 2.49
P 0.5000 0.0000 0.0000  2 Hf 2.49
H 0.5000 0.5000 0.5000  12 P 3.52

Results
SG: Pm-3m, No. 221
E above lowest polymorph: 56.80 kJ per mole of atoms
calculated total energy: -5.0720 eV per atom
crystal system: cubic

***

[4]
First-principles (PBE-GGA) data for Hf2PH after structural relaxation, as listed in the Alexandria database.

Lattice parameters (Å, degrees): 3.5634 3.5634 19.6736 90.00 90.00 120.00
Closest atoms and distances in Å follow each position.
Element x y z (fractional)
Hf 0.0000 0.0000 0.0916  1 H 1.80
Hf 0.0000 0.0000 0.9084  1 H 1.80
Hf 0.3333 0.6667 0.5751  1 H 1.80
Hf 0.3333 0.6667 0.7583  1 H 1.80
Hf 0.6667 0.3333 0.2417  1 H 1.80
Hf 0.6667 0.3333 0.4249  1 H 1.80
P 0.0000 0.0000 0.5000  6 Hf 2.53
P 0.3333 0.6667 0.1667  6 Hf 2.53
P 0.6667 0.3333 0.8333  6 Hf 2.53
H 0.0000 0.0000 0.0000  2 Hf 1.80
H 0.3333 0.6667 0.6667  2 Hf 1.80
H 0.6667 0.3333 0.3333  2 Hf 1.80

Results
SG: R-3m, No. 166
E above lowest polymorph: 26.07 kJ per mole of atoms
calculated total energy: -7.6413 eV per atom
crystal system: trigonal

***

[5]
First-principles (PBE-GGA) data for Hf2PH after structural relaxation, as listed in the Alexandria database.

Lattice parameters (Å, degrees): 6.1883 6.1883 6.1883 90.00 90.00 90.00
Closest atoms and distances in Å follow each position.
Element x y z (fractional)
Hf 0.2500 0.2500 0.2500  4 H 2.68, 4 P 2.68
Hf 0.2500 0.2500 0.7500  4 H 2.68, 4 P 2.68
Hf 0.2500 0.7500 0.2500  4 H 2.68, 4 P 2.68
Hf 0.2500 0.7500 0.7500  4 H 2.68, 4 P 2.68
Hf 0.7500 0.2500 0.2500  4 H 2.68, 4 P 2.68
Hf 0.7500 0.2500 0.7500  4 H 2.68, 4 P 2.68
Hf 0.7500 0.7500 0.2500  4 H 2.68, 4 P 2.68
Hf 0.7500 0.7500 0.7500  4 H 2.68, 4 P 2.68
P 0.0000 0.0000 0.0000  8 Hf 2.68
P 0.0000 0.5000 0.5000  8 Hf 2.68
P 0.5000 0.0000 0.5000  8 Hf 2.68
P 0.5000 0.5000 0.0000  8 Hf 2.68
H 0.0000 0.0000 0.5000  8 Hf 2.68
H 0.0000 0.5000 0.0000  8 Hf 2.68
H 0.5000 0.0000 0.0000  8 Hf 2.68
H 0.5000 0.5000 0.5000  8 Hf 2.68

Results
SG: Fm-3m, No. 225
E above lowest polymorph: 38.18 kJ per mole of atoms
calculated total energy: -7.5158 eV per atom
crystal system: cubic

***

[6]
First-principles (PBE-GGA) data for HfPH after structural relaxation, as listed in the Alexandria database.

Lattice parameters (Å, degrees): 3.5444 3.5470 6.0441 90.00 90.00 90.00
Closest atoms and distances in Å follow each position.
Element x y z (fractional)
Hf 0.0000 0.0000 0.0000  2 H 2.04
Hf 0.0000 0.5000 0.5000  2 H 2.04
P 0.5000 0.0000 0.3258  2 H 1.77
P 0.5000 0.5000 0.8258  2 H 1.77
H 0.5000 0.0000 0.8317  2 P 1.77
H 0.5000 0.5000 0.3317  2 P 1.77

Results
SG: Amm2, No. 38
E above lowest polymorph: 50.27 kJ per mole of atoms
calculated total energy: -6.7230 eV per atom
crystal system: orthorhombic

***

> Which of these has the highest E above lowest polymorph?

HfP3H